(1)
DFT (PBE-GGA) results for an optimized crystal structure of Dy2BeAl3Cu12.

ΔH_f (0 K) = 0.0615 eV/atom

Cell lengths 11.3163, 11.3163, 11.3163 Å; angles 27.73, 27.73, 27.73 degrees
Atoms (fractional coordinates):
Al 0.0000 0.5000 0.0000
Cu 0.8932 0.8932 0.3753
Cu 0.4044 0.8630 0.4044
Cu 0.1068 0.1068 0.6247
Cu 0.8630 0.4044 0.4044
Be 0.0000 0.0000 0.0000
Cu 0.6247 0.1068 0.1068
Dy 0.6440 0.6440 0.6440
Al 0.0000 0.0000 0.5000
Cu 0.1370 0.5956 0.5956
Cu 0.8932 0.3753 0.8932
Cu 0.5956 0.1370 0.5956
Cu 0.1068 0.6247 0.1068
Cu 0.4044 0.4044 0.8630
Cu 0.5956 0.5956 0.1370
Al 0.5000 0.0000 0.0000
Cu 0.3753 0.8932 0.8932
Dy 0.3560 0.3560 0.3560

(2)
DFT (PBE-GGA) results for an optimized crystal structure of DyBeAlCu6.

ΔH_f (0 K) = -0.0569 eV/atom

Cell lengths 7.6849, 5.1454, 8.1428 Å; angles 108.42, 118.16, 90.00 degrees
Atoms (fractional coordinates):
Cu 0.3310 0.1012 0.1844
Dy 0.7481 0.4981 0.4961
Dy 0.2519 0.5019 0.5039
Al 0.0000 0.0000 0.5000
Cu 0.1466 0.4168 0.8156
Al 0.5000 0.0000 0.5000
Cu 0.9983 0.7483 0.9966
Cu 0.1466 0.8988 0.8156
Be 0.5000 0.0000 0.0000
Cu 0.3634 0.1134 0.7268
Cu 0.6366 0.8866 0.2732
Cu 0.3310 0.5832 0.1844
Be 0.5000 0.5000 0.0000
Cu 0.8534 0.5832 0.1844
Cu 0.8534 0.1012 0.1844
Cu 0.6690 0.4168 0.8156
Cu 0.6690 0.8988 0.8156
Cu 0.0017 0.2517 0.0034

(3)
DFT (PBE-GGA) results for an optimized crystal structure of DyBeAl2Cu4.

ΔH_f (0 K) = -0.2354 eV/atom

Cell lengths 4.0766, 4.0766, 8.5636 Å; angles 76.23, 76.23, 60.00 degrees
Atoms (fractional coordinates):
Be 0.5000 0.5000 0.5000
Cu 0.5927 0.5927 0.2220
Cu 0.4073 0.4073 0.7780
Cu 0.8633 0.8633 0.4100
Cu 0.1367 0.1367 0.5900
Dy 0.0000 0.0000 0.0000
Al 0.7601 0.7601 0.7197
Al 0.2399 0.2399 0.2803

(4)
DFT (PBE-GGA) results for an optimized crystal structure of Dy2BeAlCu6.

ΔH_f (0 K) = -0.1398 eV/atom

Cell lengths 5.8981, 6.4221, 5.8942 Å; angles 62.87, 59.97, 90.00 degrees
Atoms (fractional coordinates):
Al 0.5000 0.5000 0.0000
Cu 0.7595 0.8491 0.4811
Cu 0.7604 0.8511 0.9075
Be 0.0000 0.0000 0.0000
Cu 0.2395 0.1489 0.0926
Dy 0.2191 0.6554 0.5619
Dy 0.7809 0.3446 0.4381
Cu 0.3321 0.8511 0.9074
Cu 0.6679 0.1489 0.0926
Cu 0.2405 0.1509 0.5189

(5)
DFT (PBE-GGA) results for an optimized crystal structure of DyBeAlCu.

ΔH_f (0 K) = -0.2132 eV/atom

Cell lengths 4.4897, 4.4897, 4.4897 Å; angles 60.00, 60.00, 60.00 degrees
Atoms (fractional coordinates):
Dy 0.0000 0.0000 0.0000
Be 0.2500 0.2500 0.2500
Cu 0.7500 0.7500 0.7500
Al 0.5000 0.5000 0.5000

(6)
DFT (PBE-GGA) results for an optimized crystal structure of Er2BeAlCu6.

ΔH_f (0 K) = -0.1309 eV/atom

Cell lengths 5.7849, 6.5025, 6.5152 Å; angles 52.77, 63.71, 89.89 degrees
Atoms (fractional coordinates):
Cu 0.3265 0.2410 0.9142
Cu 0.2378 0.7562 0.0896
Cu 0.2435 0.3235 0.5186
Cu 0.7565 0.6765 0.4814
Cu 0.6735 0.7590 0.0858
Er 0.7795 0.2203 0.4423
Al 0.5000 0.5000 0.0000
Er 0.2205 0.7797 0.5577
Cu 0.7622 0.2438 0.9104
Be 0.0000 0.0000 0.0000

(7)
DFT (PBE-GGA) results for an optimized crystal structure of BeAl2Ga2Cu7.

ΔH_f (0 K) = 0.0369 eV/atom

Cell lengths 3.4373, 3.4373, 14.2450 Å; angles 82.93, 82.93, 90.02 degrees
Atoms (fractional coordinates):
Cu 0.9315 0.4314 0.1312
Cu 0.0685 0.5686 0.8688
Cu 0.7300 0.7300 0.5485
Cu 0.2700 0.2700 0.4515
Ga 0.1885 0.1885 0.6295
Al 0.6367 0.6367 0.7314
Be 0.0000 0.0000 0.0000
Ga 0.8115 0.8115 0.3705
Cu 0.5000 0.5000 0.0000
Cu 0.5686 0.0685 0.8688
Cu 0.4314 0.9315 0.1312
Al 0.3633 0.3633 0.2686

(8)
DFT (PBE-GGA) results for an optimized crystal structure of BeAlGa2Cu.

ΔH_f (0 K) = 0.4378 eV/atom

Cell lengths 4.6255, 4.2044, 4.6255 Å; angles 90.00, 90.00, 90.00 degrees
Atoms (fractional coordinates):
Be 0.0000 0.5000 0.0000
Ga 0.0000 0.0000 0.5000
Cu 0.0000 0.0000 0.0000
Al 0.5000 0.5000 0.5000
Ga 0.5000 0.0000 0.0000

(9)
DFT (PBE-GGA) results for an optimized crystal structure of BeAl2Cu7Ge2.

ΔH_f (0 K) = 0.0251 eV/atom

Cell lengths 3.8203, 3.8204, 12.2576 Å; angles 72.89, 72.89, 93.22 degrees
Atoms (fractional coordinates):
Cu 0.5000 0.5000 0.0000
Al 0.1956 0.1956 0.3043
Cu 0.3543 0.8557 0.1446
Cu 0.8557 0.3543 0.1446
Cu 0.6457 0.1443 0.8554
Ge 0.6927 0.6927 0.3068
Ge 0.3073 0.3073 0.6932
Cu 0.2461 0.2461 0.5001
Be 0.0000 0.0000 0.0000
Al 0.8044 0.8044 0.6957
Cu 0.7539 0.7539 0.4999
Cu 0.1443 0.6457 0.8554

(10)
DFT (PBE-GGA) results for an optimized crystal structure of HfBeAlCu.

ΔH_f (0 K) = -0.1509 eV/atom

Cell lengths 4.3184, 4.3184, 4.3184 Å; angles 60.00, 60.00, 60.00 degrees
Atoms (fractional coordinates):
Be 0.7500 0.7500 0.7500
Hf 0.5000 0.5000 0.5000
Al 0.0000 0.0000 0.0000
Cu 0.2500 0.2500 0.2500

(11)
DFT (PBE-GGA) results for an optimized crystal structure of BeAlCuHg2.

ΔH_f (0 K) = 0.5819 eV/atom

Cell lengths 5.0218, 4.2358, 5.0218 Å; angles 90.00, 90.00, 90.00 degrees
Atoms (fractional coordinates):
Hg 0.0000 0.0000 0.5000
Be 0.0000 0.5000 0.0000
Hg 0.5000 0.0000 0.0000
Al 0.5000 0.5000 0.5000
Cu 0.0000 0.0000 0.0000

(12)
DFT (PBE-GGA) results for an optimized crystal structure of Ho2BeAl3Cu12.

ΔH_f (0 K) = 0.0566 eV/atom

Cell lengths 11.3484, 11.3484, 11.3484 Å; angles 27.55, 27.55, 27.55 degrees
Atoms (fractional coordinates):
Cu 0.5961 0.1354 0.5961
Be 0.0000 0.0000 0.0000
Cu 0.8919 0.8919 0.3765
Cu 0.8919 0.3765 0.8919
Al 0.0000 0.0000 0.5000
Ho 0.6440 0.6440 0.6440
Cu 0.3765 0.8919 0.8919
Cu 0.5961 0.5961 0.1354
Al 0.0000 0.5000 0.0000
Cu 0.1081 0.6235 0.1081
Cu 0.6235 0.1081 0.1081
Al 0.5000 0.0000 0.0000
Cu 0.1354 0.5961 0.5961
Cu 0.8646 0.4039 0.4039
Cu 0.4039 0.4039 0.8646
Cu 0.4039 0.8646 0.4039
Ho 0.3560 0.3560 0.3560
Cu 0.1081 0.1081 0.6235